Density functional theory data (GGA-PBE) for a relaxed Ca2GaHg2 crystal.

Calculated values
total moment: 0.00 μB per atom
distance to the lowest polymorph of the same formula: 4.31 kcal/mol of atoms
E_form: -0.283 eV/atom
E: -1.810 eV/atom

```
Ca2GaHg2
1.0
8.5252 0.0000 0.0000
0.0000 8.5252 0.0000
0.0000 0.0000 3.8875
Ca Ga Hg
4 2 4
direct
0.1590 0.3410 0.0000
0.3410 0.8410 0.0000
0.6590 0.1590 0.0000
0.8410 0.6590 0.0000
0.0000 0.0000 0.0000
0.5000 0.5000 0.0000
0.1384 0.6384 0.5000
0.3616 0.1384 0.5000
0.6384 0.8616 0.5000
0.8616 0.3616 0.5000
```